Compound: EuAsP
Source: the Alexandria database
Functional: PBE
Structure: optimized geometry

abc: 4.3841 4.3841 4.0639
angles: 90.00 90.00 120.00
Last column: nearest neighbours and their distance in Å.
Sites, in units of the cell vectors:
Eu1 0.0000 0.0000 0.0000  6 As 3.25, 6 P 3.25
As1 0.3333 0.6667 0.5000  3 P 2.53
P1 0.6667 0.3333 0.5000  3 As 2.53

Output
As for the calculated total energy: -7.454 eV/atom. For the magnetic moment, the calculation gives 6.8 Bohr magnetons per cell. Its space group is P-6m2.



Compound: RbNa2AlGa
Source: the Alexandria database
Functional: PBE
Structure: optimized geometry

abc: 5.8885 5.8885 4.9843
angles: 90.00 90.00 90.00
Last column: nearest neighbours and their distance in Å.
Sites, in units of the cell vectors:
Rb1 0.0000 0.0000 0.0000  8 Na 3.86, 4 Al 4.16
Na1 0.0000 0.5000 0.5000  2 Ga 2.94
Na2 0.5000 0.0000 0.5000  2 Ga 2.94
Al1 0.5000 0.5000 0.0000  2 Ga 2.49
Ga1 0.5000 0.5000 0.5000  2 Al 2.49

Output
As for the calculated total energy: -1.957 eV/atom. For the magnetic moment, the calculation gives 0.0 Bohr magnetons per cell. Its space group is P4/mmm.



Compound: DyHgBr2
Source: the Alexandria database
Functional: PBE
Structure: optimized geometry

abc: 11.8984 11.8984 11.8984
angles: 18.54 18.54 18.54
Last column: nearest neighbours and their distance in Å.
Sites, in units of the cell vectors:
Dy1 0.0000 0.0000 0.0000  6 Br 2.88
Hg1 0.5000 0.5000 0.5000  6 Hg 3.83, 2 Br 4.00
Br1 0.3859 0.3859 0.3859  3 Dy 2.88
Br2 0.6141 0.6141 0.6141  3 Dy 2.88

Output
For the magnetic moment, the calculation gives 0.0 Bohr magnetons per cell. Its formation energy without anion corrections is -1.166 eV per atom. Its space group is R-3m.



Compound: AlW2Cl
Source: the Alexandria database
Functional: PBE
Structure: optimized geometry

abc: 8.7158 8.7158 8.7158
angles: 19.78 19.78 19.78
Last column: nearest neighbours and their distance in Å.
Sites, in units of the cell vectors:
Al1 0.0000 0.0000 0.0000  3 W 2.67, 3 Cl 2.99
W1 0.2540 0.2540 0.2540  3 Al 2.67, 3 W 2.76
W2 0.5033 0.5033 0.5033  3 Cl 2.58, 3 W 2.76
Cl1 0.7618 0.7618 0.7618  3 W 2.58

Output
For the magnetic moment, the calculation gives 0.0 Bohr magnetons per cell. Its formation energy without anion corrections is 0.234 eV per atom. Its space group is R3m.



Compound: Mg2InTc
Source: the Alexandria database
Functional: PBE
Structure: optimized geometry

abc: 5.2977 5.2977 5.2977
angles: 135.50 135.50 64.75
Last column: nearest neighbours and their distance in Å.
Sites, in units of the cell vectors:
Mg1 0.0000 0.0000 0.0000  4 Tc 2.84, 4 In 3.00, 4 Mg 3.00
Mg2 0.7500 0.2500 0.5000  4 In 2.84, 4 Tc 3.00, 4 Mg 3.00
In1 0.2500 0.7500 0.5000  8 Mg 2.84-3.00, 4 Tc 3.00
Tc1 0.5000 0.5000 0.0000  8 Mg 2.84-3.00, 4 In 3.00

Output
As for the calculated total energy: -4.007 eV/atom. For the magnetic moment, the calculation gives 0.0 Bohr magnetons per cell. Its space group is I-4m2.



Compound: MnFePb4
Source: the Alexandria database
Functional: PBE
Structure: optimized geometry

abc: 6.3159 6.3159 6.3159
angles: 60.00 60.00 60.00
Last column: nearest neighbours and their distance in Å.
Sites, in units of the cell vectors:
Mn1 0.0000 0.0000 0.0000  12 Pb 3.70, 4 Fe 3.87
Fe1 0.2500 0.2500 0.2500  12 Pb 3.70, 4 Mn 3.87
Pb1 0.1253 0.6249 0.6249  6 Pb 3.16
Pb2 0.6249 0.1253 0.6249  6 Pb 3.16
Pb3 0.6249 0.6249 0.1253  6 Pb 3.16
Pb4 0.6249 0.6249 0.6249  6 Pb 3.16

Output
As for the calculated total energy: -4.455 eV/atom. For the magnetic moment, the calculation gives 7.7 Bohr magnetons per cell. Its space group is F-43m.



Compound: Sm3HoPb5
Source: the Alexandria database
Functional: PBE
Structure: optimized geometry

abc: 9.6472 9.6472 6.5903
angles: 90.00 90.00 120.00
Last column: nearest neighbours and their distance in Å.
Sites, in units of the cell vectors:
Sm1 0.0000 0.3817 0.2500  9 Pb 3.22-3.43
Sm2 0.0000 0.6183 0.7500  9 Pb 3.22-3.43
Sm3 0.3817 0.0000 0.2500  9 Pb 3.22-3.43
Sm4 0.3817 0.3817 0.7500  9 Pb 3.22-3.43
Sm5 0.6183 0.0000 0.7500  9 Pb 3.22-3.43
Sm6 0.6183 0.6183 0.2500  9 Pb 3.22-3.43
Ho1 0.0000 0.0000 0.0000  6 Pb 3.20, 2 Ho 3.30
Ho2 0.0000 0.0000 0.5000  6 Pb 3.20, 2 Ho 3.30
Pb1 0.0000 0.2843 0.7500  2 Ho 3.20, 5 Sm 3.22-3.43
Pb2 0.0000 0.7157 0.2500  2 Ho 3.20, 5 Sm 3.22-3.43
Pb3 0.2843 0.0000 0.7500  2 Ho 3.20, 5 Sm 3.22-3.43
Pb4 0.2843 0.2843 0.2500  2 Ho 3.20, 5 Sm 3.22-3.43
Pb5 0.3333 0.6667 0.0000  2 Pb 3.30, 6 Sm 3.43
Pb6 0.3333 0.6667 0.5000  2 Pb 3.30, 6 Sm 3.43
Pb7 0.6667 0.3333 0.0000  2 Pb 3.30, 6 Sm 3.43
Pb8 0.6667 0.3333 0.5000  2 Pb 3.30, 6 Sm 3.43
Pb9 0.7157 0.0000 0.2500  2 Ho 3.20, 5 Sm 3.22-3.43
Pb10 0.7157 0.7157 0.7500  2 Ho 3.20, 5 Sm 3.22-3.43

Output
As for the calculated total energy: -4.600 eV/atom. For the magnetic moment, the calculation gives 0.0 Bohr magnetons per cell. Its space group is P6_3/mcm.



Compound: TiBeI3
Source: the Alexandria database
Functional: PBE
Structure: optimized geometry

abc: 5.2271 5.2271 5.2271
angles: 90.00 90.00 90.00
Last column: nearest neighbours and their distance in Å.
Sites, in units of the cell vectors:
Ti1 0.0000 0.0000 0.0000  12 I 3.70
Be1 0.5000 0.5000 0.5000  6 I 2.61
I1 0.0000 0.5000 0.5000  2 Be 2.61
I2 0.5000 0.0000 0.5000  2 Be 2.61
I3 0.5000 0.5000 0.0000  2 Be 2.61

Output
For the magnetic moment, the calculation gives 0.3 Bohr magnetons per cell. Its formation energy without anion corrections is 0.497 eV per atom. Its space group is Pm-3m.



- Look up the magnetic moment of the fifth one.
  0.0 Bohr magnetons per cell